[1]
The following is a PBE calculation of a relaxed structure of Nd3Er8Sc2, from Alexandria.

extended XYZ file:
```
13
Lattice="-3.2663 -0.7708 5.8980 0.8972 -8.1018 4.5007 5.0718 -0.7676 7.7710" Properties=species:S:1:pos:R:3 pbc="T T T"
Er 1.5929 -7.9180 15.7242
Er 3.0076 -4.5354 10.8479
Er 1.1099 -1.7222 2.4456
Er 1.5024 -7.1799 9.6687
Er 1.2004 -2.4603 8.5011
Er -0.3048 -5.1048 7.3219
Er -0.6490 -4.3746 10.6393
Er 3.3518 -5.2656 7.5304
Nd 4.3395 -2.0542 7.1973
Nd -1.6331 -0.3854 2.9490
Nd 1.6296 -6.8152 5.0744
Sc -0.4043 -2.2449 5.5508
Sc 3.1072 -7.3953 12.6189
```

Electronic total energy in eV/atom: -4.631
Total magnetization in μB/cell: 0.00
Density of states at the Fermi level in states/eV per atom: 1.252
Space group: C2/m, No. 12
Energy of formation from the pure elements in kJ/mol of formula units: 315

---

[2]
The following is a PBE calculation of a relaxed structure of MgW5, from Alexandria.

extended XYZ file:
```
6
Lattice="2.4280 -4.2055 0.0000 2.4280 4.2055 0.0000 0.0000 0.0000 4.8618" Properties=species:S:1:pos:R:3 pbc="T T T"
W 1.6532 0.0000 0.0000
W 1.6014 2.7738 0.0000
W 2.4280 1.4018 2.4309
W 1.6014 -2.7738 0.0000
W 2.4280 -1.4018 2.4309
Mg 0.0000 0.0000 2.4309
```

Electronic total energy in eV/atom: -10.502
Total magnetization in μB/cell: 0.00
Density of states at the Fermi level in states/eV per atom: 1.010
Space group: P-62m, No. 189
Energy of formation from the pure elements in kJ/mol of formula units: 323

---

[3]
The following is a PBE calculation of a relaxed structure of MgTe2Ru, from Alexandria.

extended XYZ file:
```
4
Lattice="4.0564 -0.0028 -0.0005 2.0293 3.5124 -0.0005 2.0283 1.1697 6.5396" Properties=species:S:1:pos:R:3 pbc="T T T"
Te 2.0295 1.1704 6.2772
Te 4.0559 2.3390 3.5317
Mg 2.0285 1.1698 1.6347
Ru 6.0855 3.5094 4.9040
```

Electronic total energy in eV/atom: -4.485
Total magnetization in μB/cell: 0.00
Density of states at the Fermi level in states/eV per atom: 0.468
Energy relative to the elements, uncorrected in kcal/mol of atoms: -4.53
Space group: R-3m, No. 166

---

[4]
The following is a PBE calculation of a relaxed structure of ThMnRh4, from Alexandria.

extended XYZ file:
```
6
Lattice="-4.0678 -3.3748 -0.2834 0.1667 -4.5748 2.6570 -3.1285 -0.7331 4.2061" Properties=species:S:1:pos:R:3 pbc="T T T"
Rh -4.4836 -3.1308 2.7803
Rh -4.3997 -5.4344 4.1182
Rh -2.3514 -3.7350 4.2609
Rh -2.8244 -5.0652 2.0002
Th -1.7574 -2.1707 1.6449
Mn 0.0000 0.0000 0.0000
```

Electronic total energy in eV/atom: -8.054
Total magnetization in μB/cell: 4.92
Density of states at the Fermi level in states/eV per atom: 0.794
Space group: F-43m, No. 216
Energy of formation from the pure elements in kJ/mol of formula units: -224

---

[5]
The following is a PBE calculation of a relaxed structure of BeTe3, from Alexandria.

extended XYZ file:
```
16
Lattice="-0.6341 7.6705 2.9817 -2.3406 -1.6230 -7.7470 -6.6211 -1.4424 2.3026" Properties=species:S:1:pos:R:3 pbc="T T T"
Be -3.3106 -0.7212 1.1513
Be -3.4270 1.1142 -3.5951
Be 0.0000 0.0000 0.0000
Be -6.1687 3.4908 1.1324
Te -2.1371 1.4708 0.3375
Te -4.4808 -1.5327 -2.7222
Te -7.0786 -1.4641 -4.5877
Te -2.5172 6.0691 2.1250
Te -1.1703 -0.8115 -3.8735
Te -1.4873 3.0237 -2.3827
Te -0.3170 3.8352 1.4908
Te -7.4587 3.1342 -2.8003
Te -3.9203 5.0961 -2.5192
Te -4.7979 2.3025 -1.2314
Te -3.6276 3.1140 2.6421
Te -5.6754 -0.4911 0.0565
```

Electronic total energy in eV/atom: -2.974
Total magnetization in μB/cell: 0.00
Density of states at the Fermi level in states/eV per atom: 0.392
Energy relative to the elements, uncorrected in kcal/mol of atoms: 7.24
Space group: P6_3/mmc, No. 194

---

[6]
The following is a PBE calculation of a relaxed structure of Ca3CeTm2As6, from Alexandria.

extended XYZ file:
```
12
Lattice="7.2288 -0.0021 0.0006 -3.6145 6.2603 0.0006 -1.2050 -2.0865 6.8563" Properties=species:S:1:pos:R:3 pbc="T T T"
As -0.0148 4.1720 5.2506
As 2.4011 4.1575 1.6032
As 0.0082 0.0142 5.2543
As 3.6210 2.0721 5.2506
As 2.4241 -0.0003 1.6068
As -1.2117 2.0996 1.6068
Tm -0.0026 4.1743 0.0006
Tm 3.6170 2.0839 0.0006
Ca 1.2047 2.0858 3.4287
Ca 4.8227 -0.0037 3.4287
Ca -2.4134 4.1754 3.4287
Ce 0.0000 0.0000 0.0000
```

Electronic total energy in eV/atom: -5.283
Total magnetization in μB/cell: 0.00
Density of states at the Fermi level in states/eV per atom: 0.918
Space group: C2/m, No. 12
Energy of formation from the pure elements in kJ/mol of formula units: -1410

---

[7]
The following is a PBE calculation of a relaxed structure of Sr3PbO4, from Alexandria.

extended XYZ file:
```
8
Lattice="-4.4813 0.0389 -2.6610 2.4560 2.0679 -4.1057 2.0408 -5.8516 1.5818" Properties=species:S:1:pos:R:3 pbc="T T T"
O 1.2280 1.0339 -2.0529
O -2.2407 0.0195 -1.3305
O -0.5127 -1.2797 -4.2594
O 0.5282 -2.4650 -0.9256
Sr 1.0281 -4.7981 -1.8016
Sr 1.7421 -1.3651 -2.9537
Sr -1.7266 -2.3796 -2.2313
Pb 0.0155 -3.7447 -5.1850
```

Electronic total energy in eV/atom: -5.892
Total magnetization in μB/cell: 0.00
Density of states at the Fermi level in states/eV per atom: 0.000
Energy relative to the elements, uncorrected in kcal/mol of atoms: -53.47
Space group: I4/mmm, No. 139

---

[8]
The following is a PBE calculation of a relaxed structure of TlSb2Cl6, from Alexandria.

extended XYZ file:
```
18
Lattice="-4.3735 -4.1603 -10.3325 6.2807 -1.9371 -5.7228 -2.7840 -8.2328 0.6490" Properties=species:S:1:pos:R:3 pbc="T T T"
Cl 0.7685 -5.4785 -10.1797
Cl 1.7485 -9.7644 -5.2027
Cl 0.9541 -10.8775 -11.3477
Cl -1.6452 -8.8516 -5.2266
Cl -1.8309 -3.4526 -4.0586
Cl -2.6253 -4.5657 -10.2036
Cl 1.2765 -3.4398 -1.9238
Cl 0.3361 -8.0369 -13.3227
Cl -1.1529 -5.6884 -6.9195
Cl -1.2129 -6.2932 -2.0836
Cl 0.2761 -8.6417 -8.4868
Cl -2.1533 -10.8903 -13.4825
Sb 0.3921 -7.7623 -5.8486
Sb -0.8961 -9.2184 -11.6464
Sb 0.0194 -5.1117 -3.7599
Sb -1.2688 -6.5678 -9.5577
Tl -3.3692 -8.9199 -2.2914
Tl 2.4924 -5.4103 -13.1149
```

Electronic total energy in eV/atom: -3.185
Total magnetization in μB/cell: 0.00
Energy relative to the elements, uncorrected in kcal/mol of atoms: -17.88
Space group: C2/c, No. 15

---

[9]
The following is a PBE calculation of a relaxed structure of HSeBr2F, from Alexandria.

extended XYZ file:
```
5
Lattice="-2.8365 -3.1813 3.7636 2.3219 -4.6931 -2.2170 2.9855 0.2960 2.5002" Properties=species:S:1:pos:R:3 pbc="T T T"
Br -1.4182 -1.5907 1.8818
Br 1.1610 -2.3465 -1.1085
F 0.0000 0.0000 0.0000
Se 1.4927 0.1480 1.2501
H 1.2355 -3.7892 2.0234
```

Electronic total energy in eV/atom: -1.737
Total magnetization in μB/cell: 0.76
Density of states at the Fermi level in states/eV per atom: 1.324
Space group: P4/mmm, No. 123

---

[10]
The following is a PBE calculation of a relaxed structure of LaY2Mg, from Alexandria.

extended XYZ file:
```
4
Lattice="-0.2806 3.2812 -2.0419 -4.7299 1.4523 2.9838 3.2095 2.6407 3.8024" Properties=species:S:1:pos:R:3 pbc="T T T"
Y -2.5053 2.3668 0.4709
Y 0.0000 0.0000 0.0000
Mg -0.7602 2.0465 3.3931
La 1.4645 2.9610 0.8803
```

Electronic total energy in eV/atom: -4.840
Total magnetization in μB/cell: 0.00
Density of states at the Fermi level in states/eV per atom: 1.536
Space group: Pmmm, No. 47
Energy of formation from the pure elements in kJ/mol of formula units: 9

---

[11]
The following is a PBE calculation of a relaxed structure of Sm10Ge3Bi3, from Alexandria.

extended XYZ file:
```
16
Lattice="6.5496 0.0000 0.0000 0.0000 7.8617 -4.5389 0.0000 0.0000 9.0779" Properties=species:S:1:pos:R:3 pbc="T T T"
Sm 0.0000 0.0000 2.1992
Sm 4.8377 5.2411 0.0000
Sm 1.7119 5.2411 0.0000
Sm 4.8377 2.6205 4.5389
Sm 3.2748 0.0000 6.8655
Sm 0.0000 5.9571 3.4393
Sm 0.0000 1.9045 -1.0996
Sm 3.2748 1.9159 1.1062
Sm 1.7119 2.6205 4.5389
Sm 3.2748 5.9457 -3.4328
Ge 3.2748 4.8192 2.7824
Ge 3.2748 3.0424 -1.7566
Ge 3.2748 0.0000 3.5131
Bi 0.0000 3.1011 1.7904
Bi 0.0000 0.0000 5.4970
Bi 0.0000 4.7606 -2.7485
```

Electronic total energy in eV/atom: -5.268
Total magnetization in μB/cell: 0.00
Density of states at the Fermi level in states/eV per atom: 0.790
Space group: P-62m, No. 189
Energy of formation from the pure elements in kJ/mol of formula units: -1119

---

[12]
The following is a PBE calculation of a relaxed structure of Ca2BeW, from Alexandria.

extended XYZ file:
```
8
Lattice="8.0278 0.0000 0.0000 0.0000 8.0278 0.0000 4.0139 4.0139 2.7344" Properties=species:S:1:pos:R:3 pbc="T T T"
Be 4.0139 8.0278 1.3672
Be 4.0139 4.0139 0.0000
W 8.0278 4.0139 1.3672
W 0.0000 0.0000 0.0000
Ca 2.3631 6.0209 0.6836
Ca 5.6647 2.0070 0.6836
Ca 6.0209 6.3770 2.0508
Ca 10.0348 9.6787 2.0508
```

Electronic total energy in eV/atom: -3.910
Total magnetization in μB/cell: 3.89
Density of states at the Fermi level in states/eV per atom: 0.762
Space group: I-42d, No. 122
Energy of formation from the pure elements in kJ/mol of formula units: 486

---

[13]
The following is a PBE calculation of a relaxed structure of Ac2Al3CuPt4, from Alexandria.

extended XYZ file:
```
10
Lattice="4.4283 0.0000 0.0000 0.0000 4.4283 0.0000 0.0000 0.0000 10.4194" Properties=species:S:1:pos:R:3 pbc="T T T"
Al 2.2141 0.0000 9.1737
Al 0.0000 0.0000 5.2097
Al 0.0000 2.2141 1.2457
Ac 2.2141 0.0000 2.6488
Ac 0.0000 2.2141 7.7706
Cu 2.2141 2.2141 5.2097
Pt 2.2141 0.0000 6.6168
Pt 0.0000 2.2141 3.8025
Pt 2.2141 2.2141 0.0000
Pt 0.0000 0.0000 0.0000
```

Electronic total energy in eV/atom: -5.750
Total magnetization in μB/cell: 0.00
Density of states at the Fermi level in states/eV per atom: 0.507
Space group: P-4m2, No. 115
Energy of formation from the pure elements in kJ/mol of formula units: -945